# 1
Tm6GeAs5: optimized geometry, GGA-PBE.

a b c (Å): 7.044 7.044 7.051
angles (deg): 99.61 99.61 120.06
Atoms (fractional coordinates):
1 Tm 0.082 0.417 0.750
2 Tm 0.249 0.249 0.251
3 Tm 0.417 0.082 0.750
4 Tm 0.583 0.918 0.250
5 Tm 0.751 0.751 0.749
6 Tm 0.918 0.583 0.250
7 Ge 0.500 0.500 0.000
8 As 0.000 0.000 0.500
9 As 0.166 0.834 0.000
10 As 0.333 0.667 0.500
11 As 0.667 0.333 0.500
12 As 0.834 0.166 0.000

Summary:
Formation energy from the elements   -1.3487 eV per atom
Theoretical density   8.50 g/cm³
Calculated volume   285.42 Å³/cell
DOS(E_F)   0.3710 states/eV per atom
Space-group type   C2/m (12)

***

# 2
Tm2GeAs: optimized geometry, GGA-PBE.

a b c (Å): 11.291 11.291 3.990
angles (deg): 90.00 90.00 158.85
Atoms (fractional coordinates):
1 Tm 0.064 0.936 0.750
2 Tm 0.315 0.685 0.750
3 Tm 0.685 0.315 0.250
4 Tm 0.936 0.064 0.250
5 Ge 0.456 0.544 0.750
6 Ge 0.544 0.456 0.250
7 As 0.188 0.812 0.750
8 As 0.812 0.188 0.250

Summary:
Formation energy from the elements   -1.1583 eV per atom
Theoretical density   8.78 g/cm³
Calculated volume   183.56 Å³/cell
DOS(E_F)   0.3258 states/eV per atom
ΔE to the lowest computed polymorph   0 meV per atom
Space-group type   Cmcm (63)

***

# 3
Tm5Ge2As2: optimized geometry, GGA-PBE.

a b c (Å): 8.114 8.114 7.633
angles (deg): 90.00 90.00 55.71
Atoms (fractional coordinates):
1 Tm 0.000 0.000 0.000
2 Tm 0.031 0.698 0.662
3 Tm 0.198 0.531 0.162
4 Tm 0.302 0.969 0.662
5 Tm 0.469 0.802 0.162
6 Tm 0.500 0.500 0.500
7 Tm 0.531 0.198 0.838
8 Tm 0.698 0.031 0.338
9 Tm 0.802 0.469 0.838
10 Tm 0.969 0.302 0.338
11 Ge 0.136 0.864 0.364
12 Ge 0.364 0.636 0.864
13 Ge 0.636 0.364 0.136
14 Ge 0.864 0.136 0.636
15 As 0.201 0.201 0.000
16 As 0.299 0.299 0.500
17 As 0.701 0.701 0.500
18 As 0.799 0.799 0.000

Summary:
Formation energy from the elements   -1.0828 eV per atom
Theoretical density   9.12 g/cm³
Calculated volume   415.28 Å³/cell
DOS(E_F)   0.6441 states/eV per atom
Space-group type   Cmce (64)

***

- The highest formation energy from the elements belongs to which entry?
  Tm5Ge2As2

***

- Number 1 is which compound?
  Tm6GeAs5